1.
This record from Alexandria describes a geometry-optimized AcCu2Ni3 structure. The functional is PBE-GGA.

abc: 5.202 5.202 3.965
angles: 90.00 90.00 120.00
Element x y z (fractional)
Ac 0.000 0.000 0.000
Cu 0.333 0.667 0.000
Cu 0.667 0.333 0.000
Ni 0.000 0.500 0.500
Ni 0.500 0.000 0.500
Ni 0.500 0.500 0.500

## Properties
ρ in g/cm3: 9.5
DOS(E_F) in states/eV/f.u.: 4.0
DFT total energy in eV per atom: -5.1502
Total magnetic moment in μB/cell: 0.00
Symmetry: No. 191
ΔE_f in meV/atom: -209



2.
This record from Alexandria describes a geometry-optimized NaAlP2Se8 structure. The functional is PBE-GGA.

abc: 6.103 6.103 9.279
angles: 90.00 90.00 120.00
Element x y z (fractional)
Na 0.000 0.000 0.000
Al 0.000 0.000 0.500
P 0.333 0.667 0.741
P 0.667 0.333 0.259
Se 0.026 0.694 0.322
Se 0.306 0.332 0.322
Se 0.332 0.026 0.678
Se 0.333 0.667 0.979
Se 0.667 0.333 0.021
Se 0.668 0.974 0.322
Se 0.694 0.668 0.678
Se 0.974 0.306 0.678

## Properties
Raw formation energy in kJ/mol of formula units: -238
ρ in g/cm3: 4.1
DOS(E_F) in states/eV/f.u.: 9.9
DFT total energy in eV per atom: -3.8524
Total magnetic moment in μB/cell: 0.00
Symmetry: No. 147



3.
This record from Alexandria describes a geometry-optimized Sm2HgAu3 structure. The functional is PBE-GGA.

abc: 9.636 9.027 5.949
angles: 77.07 65.94 37.00
Element x y z (fractional)
Sm 0.246 0.754 0.754
Sm 0.250 0.250 0.250
Sm 0.750 0.750 0.750
Sm 0.754 0.246 0.246
Hg 0.333 0.333 0.667
Hg 0.667 0.667 0.333
Au 0.166 0.166 0.834
Au 0.166 0.667 0.333
Au 0.333 0.834 0.166
Au 0.667 0.166 0.834
Au 0.834 0.333 0.667
Au 0.834 0.834 0.166

## Properties
ρ in g/cm3: 13.0
DOS(E_F) in states/eV/f.u.: 4.0
DFT total energy in eV per atom: -3.9368
Total magnetic moment in μB/cell: 0.00
Symmetry: No. 69
ΔE_f in meV/atom: -675



4.
This record from Alexandria describes a geometry-optimized Nd6CdRh3 structure. The functional is PBE-GGA.

abc: 8.742 8.742 7.290
angles: 90.00 90.00 98.06
Element x y z (fractional)
Nd 0.060 0.499 0.346
Nd 0.071 0.929 0.500
Nd 0.210 0.790 0.028
Nd 0.309 0.372 0.963
Nd 0.372 0.309 0.463
Nd 0.499 0.060 0.846
Nd 0.501 0.940 0.346
Nd 0.628 0.691 0.963
Nd 0.691 0.628 0.463
Nd 0.790 0.210 0.528
Nd 0.929 0.071 0.000
Nd 0.940 0.501 0.846
Cd 0.328 0.672 0.639
Cd 0.672 0.328 0.139
Rh 0.086 0.251 0.683
Rh 0.251 0.086 0.183
Rh 0.387 0.613 0.257
Rh 0.613 0.387 0.757
Rh 0.749 0.914 0.683
Rh 0.914 0.749 0.183

## Properties
ρ in g/cm3: 7.7
DOS(E_F) in states/eV/f.u.: 8.3
DFT total energy in eV per atom: -5.6263
Total magnetic moment in μB/cell: 0.00
Symmetry: No. 36
ΔE_f in meV/atom: -469



5.
This record from Alexandria describes a geometry-optimized HfC structure. The functional is PBE-GGA.

abc: 3.566 3.566 3.566
angles: 60.00 60.00 60.00
Element x y z (fractional)
Hf 0.000 0.000 0.000
C 0.750 0.750 0.750

## Properties
ρ in g/cm3: 9.9
DOS(E_F) in states/eV/f.u.: 0.2
DFT total energy in eV per atom: -9.8905
Total magnetic moment in μB/cell: 0.00
Symmetry: No. 216
ΔE_f in meV/atom: -302



6.
This record from Alexandria describes a geometry-optimized KTcCl2 structure. The functional is PBE-GGA.

abc: 7.712 7.712 7.712
angles: 149.77 149.77 43.28
Element x y z (fractional)
K 0.000 0.000 0.000
Tc 0.250 0.750 0.500
Cl 0.500 0.500 0.000
Cl 0.750 0.250 0.500

## Properties
Raw formation energy in kJ/mol of formula units: -35
ρ in g/cm3: 3.0
DOS(E_F) in states/eV/f.u.: 2.6
DFT total energy in eV per atom: -3.8802
Total magnetic moment in μB/cell: 4.22
Symmetry: No. 119



- Look up the DOS(E_F) of the third one.
  4.0 states/eV/f.u.